Ti2VRuO after structural relaxation, computed with GGA+U.

```
Ti2VRuO
1.0
4.068 0.000 0.000
0.000 4.068 0.000
0.000 0.000 3.992
Ti V Ru O
2 1 1 1
direct
0.000 0.500 0.000
0.500 0.000 0.000
0.000 0.000 0.500
0.500 0.500 0.500
0.000 0.000 0.000
```

## Properties
Raw total energy   -8.20 eV/atom